Material: Pm2Mg3Hg
Method: DFT, PBE-GGA
State: relaxed

a b c (Å): 3.4250 5.1682 8.9149
angles (deg): 90.00 90.00 90.00
With the nearest neighbours (Å) after each atom.
Space group Pmm2 (No. 25)
Inequivalent atoms, fractional coordinates:
Pm 0.0000 0.0000 0.0000  2 Hg 3.38, 10 Mg 3.40-3.50, 2 Pm 3.42
Pm 0.0000 0.5000 0.4812  8 Mg 3.37-3.48, 4 Hg 3.39, 2 Pm 3.42
Mg 0.5000 0.0000 0.6570  1 Hg 2.95, 2 Mg 2.97
Mg 0.5000 0.5000 0.1560  1 Mg 2.98, 2 Hg 3.00
Mg 0.5000 0.5000 0.8213  3 Mg 2.97-2.98
Hg 0.5000 0.0000 0.3264  3 Mg 2.95-3.00

E_form, eV/atom: -0.209